Entry 1:
The following is a GGA-PBE calculation of Ni2Sb2Pb after structural relaxation, from Alexandria via LeMat-Bulk.

Cell and atoms, written as extended XYZ:
```
10
Lattice="4.4547 0.0000 0.0000 0.0000 4.4547 0.0000 0.0000 0.0000 10.8780" Properties=species:S:1:pos:R:3 pbc="T T T"
Ni 0.0000 2.2274 2.7195
Ni 0.0000 2.2274 8.1585
Ni 2.2274 0.0000 2.7195
Ni 2.2274 0.0000 8.1585
Sb 0.0000 0.0000 1.5082
Sb 0.0000 0.0000 9.3698
Sb 2.2274 2.2274 3.9308
Sb 2.2274 2.2274 6.9471
Pb 0.0000 0.0000 5.4390
Pb 2.2274 2.2274 0.0000
```

Results
Formation energy (no corrections), eV per formula unit: -0.02
D(E_F), states/eV/cell: 5.55
Excess energy over the best structure of this formula in the dataset, meV/atom: 0.0
Theoretical density, kg/m³: 8740


Entry 2:
The following is a GGA-PBE calculation of NiSb2Pb2 after structural relaxation, from Alexandria via LeMat-Bulk.

Cell and atoms, written as extended XYZ:
```
10
Lattice="6.6773 0.0000 0.0000 0.0000 6.6773 0.0000 0.0000 0.0000 6.0191" Properties=species:S:1:pos:R:3 pbc="T T T"
Ni 0.0000 0.0000 0.0000
Ni 3.3387 3.3387 0.0000
Sb 1.0349 2.3038 0.0000
Sb 2.3038 5.6424 0.0000
Sb 4.3736 1.0349 0.0000
Sb 5.6424 4.3736 0.0000
Pb 1.3577 4.6964 3.0096
Pb 1.9809 1.3577 3.0096
Pb 4.6964 5.3196 3.0096
Pb 5.3196 1.9809 3.0096
```

Results
Formation energy (no corrections), eV per formula unit: 0.25
D(E_F), states/eV/cell: 6.05
Theoretical density, kg/m³: 8868


Entry 3:
The following is a GGA-PBE calculation of NiSbPb after structural relaxation, from Alexandria via LeMat-Bulk.

Cell and atoms, written as extended XYZ:
```
6
Lattice="3.2485 0.0000 0.0000 0.0000 3.2485 0.0000 0.0000 0.0000 12.9832" Properties=species:S:1:pos:R:3 pbc="T T T"
Ni 0.0000 0.0000 0.0000
Ni 1.6242 1.6242 6.4916
Sb 0.0000 0.0000 7.8581
Sb 1.6242 1.6242 1.3664
Pb 0.0000 0.0000 4.5284
Pb 1.6242 1.6242 11.0200
```

Results
Formation energy (no corrections), eV per formula unit: 0.05
D(E_F), states/eV/cell: 2.50
Theoretical density, kg/m³: 9397


Entry 4:
The following is a GGA-PBE calculation of Ni2SbPb2 after structural relaxation, from Alexandria via LeMat-Bulk.

Cell and atoms, written as extended XYZ:
```
10
Lattice="7.0181 0.0000 0.0000 0.0000 7.0181 0.0000 0.0000 0.0000 4.2180" Properties=species:S:1:pos:R:3 pbc="T T T"
Ni 0.9354 2.5736 0.0000
Ni 2.5736 6.0826 0.0000
Ni 4.4444 0.9354 0.0000
Ni 6.0826 4.4444 0.0000
Sb 0.0000 0.0000 0.0000
Sb 3.5090 3.5090 0.0000
Pb 1.1557 4.6647 2.1090
Pb 2.3533 1.1557 2.1090
Pb 4.6647 5.8623 2.1090
Pb 5.8623 2.3533 2.1090
```

Results
Formation energy (no corrections), eV per formula unit: 0.78
D(E_F), states/eV/cell: 7.15
Theoretical density, kg/m³: 10448


Entry 5:
The following is a GGA-PBE calculation of NiSbPb2 after structural relaxation, from Alexandria via LeMat-Bulk.

Cell and atoms, written as extended XYZ:
```
8
Lattice="15.4867 0.0000 0.0000 0.0000 3.3624 0.0000 -1.0663 0.0000 3.9453" Properties=species:S:1:pos:R:3 pbc="T T T"
Ni 0.0000 0.0000 0.0000
Ni 7.7434 1.6812 0.0000
Sb -0.5331 1.6812 1.9726
Sb 7.2102 0.0000 1.9726
Pb 2.4400 1.6812 0.6649
Pb 4.2371 0.0000 3.2804
Pb 10.1834 0.0000 0.6649
Pb 11.9804 1.6812 3.2804
```

Results
Formation energy (no corrections), eV per formula unit: 0.26
D(E_F), states/eV/cell: 3.62
Theoretical density, kg/m³: 9616


Entry 6:
The following is a GGA-PBE calculation of NiSbPb2 after structural relaxation, from Alexandria via LeMat-Bulk.

Cell and atoms, written as extended XYZ:
```
8
Lattice="4.5790 0.0000 0.0000 0.0000 4.5790 0.0000 0.0000 0.0000 9.5596" Properties=species:S:1:pos:R:3 pbc="T T T"
Ni 0.0000 0.0000 0.0000
Ni 2.2895 2.2895 4.7798
Sb 0.0000 0.0000 4.7798
Sb 2.2895 2.2895 0.0000
Pb 0.0000 2.2895 2.3899
Pb 0.0000 2.2895 7.1697
Pb 2.2895 0.0000 2.3899
Pb 2.2895 0.0000 7.1697
```

Results
Formation energy (no corrections), eV per formula unit: 1.45
D(E_F), states/eV/cell: 4.22
Theoretical density, kg/m³: 9856


Entry 7:
The following is a GGA-PBE calculation of Ni2Sb2Pb after structural relaxation, from Alexandria via LeMat-Bulk.

Cell and atoms, written as extended XYZ:
```
10
Lattice="4.6254 0.0000 0.0000 0.0000 4.6254 0.0000 0.0000 0.0000 10.0442" Properties=species:S:1:pos:R:3 pbc="T T T"
Ni 0.0000 0.0000 1.2678
Ni 0.0000 0.0000 8.7764
Ni 2.3127 2.3127 3.7543
Ni 2.3127 2.3127 6.2900
Sb 0.0000 2.3127 2.5111
Sb 0.0000 2.3127 7.5332
Sb 2.3127 0.0000 2.5111
Sb 2.3127 0.0000 7.5332
Pb 0.0000 0.0000 5.0221
Pb 2.3127 2.3127 0.0000
```

Results
Formation energy (no corrections), eV per formula unit: 0.61
D(E_F), states/eV/cell: 4.48
Excess energy over the best structure of this formula in the dataset, meV/atom: 126.0
Theoretical density, kg/m³: 8780


Entry 8:
The following is a GGA-PBE calculation of Ni2SbPb after structural relaxation, from Alexandria via LeMat-Bulk.

Cell and atoms, written as extended XYZ:
```
4
Lattice="3.3408 0.0000 0.0000 0.0000 3.3023 0.0000 -1.6568 0.0000 6.8227" Properties=species:S:1:pos:R:3 pbc="T T T"
Ni 0.0060 0.0000 1.2990
Ni 1.6781 0.0000 5.5237
Sb 1.6704 1.6512 0.0000
Pb -0.8284 1.6512 3.4114
```

Results
Formation energy (no corrections), eV per formula unit: 0.50
D(E_F), states/eV/cell: 2.22
Theoretical density, kg/m³: 9847


Entry 9:
The following is a GGA-PBE calculation of NiSbPb2 after structural relaxation, from Alexandria via LeMat-Bulk.

Cell and atoms, written as extended XYZ:
```
8
Lattice="4.7198 0.0000 0.0000 0.0000 4.7198 0.0000 0.0000 0.0000 8.9795" Properties=species:S:1:pos:R:3 pbc="T T T"
Ni 0.0000 0.0000 0.0000
Ni 2.3599 2.3599 4.4898
Sb 0.0000 2.3599 2.2449
Sb 2.3599 0.0000 6.7346
Pb 0.0000 0.0000 4.4898
Pb 0.0000 2.3599 6.7346
Pb 2.3599 0.0000 2.2449
Pb 2.3599 2.3599 0.0000
```

Results
Formation energy (no corrections), eV per formula unit: 1.46
D(E_F), states/eV/cell: 4.53
Theoretical density, kg/m³: 9876


Entry 10:
The following is a GGA-PBE calculation of NiSbPb2 after structural relaxation, from Alexandria via LeMat-Bulk.

Cell and atoms, written as extended XYZ:
```
12
Lattice="3.6142 0.0000 0.0000 -1.8071 3.1300 0.0000 0.0000 0.0000 26.6857" Properties=species:S:1:pos:R:3 pbc="T T T"
Ni 0.0000 0.0000 0.0000
Ni 0.0000 2.0866 17.7905
Ni 1.8071 1.0433 8.8952
Sb 0.0000 0.0000 13.3428
Sb 0.0000 2.0866 4.4476
Sb 1.8071 1.0433 22.2381
Pb 0.0000 0.0000 7.1697
Pb 0.0000 0.0000 19.5160
Pb 0.0000 2.0866 10.6207
Pb 0.0000 2.0866 24.9602
Pb 1.8071 1.0433 1.7255
Pb 1.8071 1.0433 16.0649
```

Results
Formation energy (no corrections), eV per formula unit: 0.88
D(E_F), states/eV/cell: 9.62
Theoretical density, kg/m³: 9816


Entry 11:
The following is a GGA-PBE calculation of NiSbPb2 after structural relaxation, from Alexandria via LeMat-Bulk.

Cell and atoms, written as extended XYZ:
```
16
Lattice="7.3570 0.0000 0.0000 0.0000 7.3570 0.0000 0.0000 0.0000 7.3570" Properties=species:S:1:pos:R:3 pbc="T T T"
Ni 0.0000 0.0000 0.0000
Ni 0.0000 3.6785 3.6785
Ni 3.6785 0.0000 3.6785
Ni 3.6785 3.6785 0.0000
Sb 1.8393 1.8393 1.8393
Sb 1.8393 5.5178 5.5178
Sb 5.5178 1.8393 5.5178
Sb 5.5178 5.5178 1.8393
Pb 0.0000 0.0000 3.6785
Pb 0.0000 3.6785 0.0000
Pb 1.8393 1.8393 5.5178
Pb 1.8393 5.5178 1.8393
Pb 3.6785 0.0000 0.0000
Pb 3.6785 3.6785 3.6785
Pb 5.5178 1.8393 1.8393
Pb 5.5178 5.5178 5.5178
```

Results
Formation energy (no corrections), eV per formula unit: 1.65
D(E_F), states/eV/cell: 13.05
Theoretical density, kg/m³: 9922


Entry 12:
The following is a GGA-PBE calculation of Ni2SbPb4 after structural relaxation, from Alexandria via LeMat-Bulk.

Cell and atoms, written as extended XYZ:
```
14
Lattice="5.7613 0.0000 0.0000 0.0000 5.7613 0.0000 0.0000 0.0000 13.3183" Properties=species:S:1:pos:R:3 pbc="T T T"
Ni 0.0000 0.0000 1.1185
Ni 0.0000 0.0000 12.1998
Ni 2.8806 2.8806 5.5407
Ni 2.8806 2.8806 7.7777
Sb 0.0000 0.0000 6.6592
Sb 2.8806 2.8806 0.0000
Pb 0.0000 0.0000 3.5915
Pb 0.0000 0.0000 9.7268
Pb 0.0000 2.8806 0.0000
Pb 0.0000 2.8806 6.6592
Pb 2.8806 0.0000 0.0000
Pb 2.8806 0.0000 6.6592
Pb 2.8806 2.8806 3.0676
Pb 2.8806 2.8806 10.2507
```

Results
Formation energy (no corrections), eV per formula unit: 4.31
D(E_F), states/eV/cell: 10.71
Theoretical density, kg/m³: 8023